Ba2NaCo2O6 after structural relaxation. Source: Alexandria via LeMat-Bulk, functional PBE with a Hubbard U.

Lattice parameters (Å, degrees): 5.9528 5.9528 6.9762 64.74 64.74 60.00
Fractional positions:
Ba (0.2132, 0.2132, 0.3604)
Ba (0.7868, 0.7868, 0.6396)
O (0.7429, 0.2401, 0.2741)
O (0.2571, 0.7599, 0.7259)
O (0.2571, 0.2571, 0.7259)
O (0.2401, 0.7429, 0.2741)
O (0.7599, 0.2571, 0.7259)
O (0.7429, 0.7429, 0.2741)
Co (0.4199, 0.4199, 0.7403)
Co (0.5801, 0.5801, 0.2597)
Na (0.0000, 0.0000, 0.0000)

Results
DOS at the Fermi energy   0.58 states/eV per atom
DFT total energy   -5.682 eV/atom